i:
The following is a PBE-GGA calculation of a relaxed structure of Na2SeF, from Alexandria.

Cell: 3.4254 3.4254 21.1605 Å, 90.00 90.00 120.00°
With the nearest neighbours (Å) after each atom.
Sites, in units of the cell vectors:
Na1 0.0000 0.0000 0.2301  3 F 2.39
Na2 0.0000 0.0000 0.7699  3 F 2.39
Na3 0.3333 0.6667 0.4366  3 F 2.39
Na4 0.3333 0.6667 0.8968  3 F 2.39
Na5 0.6667 0.3333 0.1032  3 F 2.39
Na6 0.6667 0.3333 0.5634  3 F 2.39
Se1 0.0000 0.0000 0.0000  6 Na 2.95
Se2 0.3333 0.6667 0.6667  6 Na 2.95
Se3 0.6667 0.3333 0.3333  6 Na 2.95
F1 0.0000 0.0000 0.5000  6 Na 2.39
F2 0.3333 0.6667 0.1667  6 Na 2.39
F3 0.6667 0.3333 0.8333  6 Na 2.39

* symmetry: No. 166
* calculated volume: 215.0 Å³ per cell
* density: 3335 kg/m³

---

ii:
The following is a PBE-GGA calculation of a relaxed structure of Na2SeF, from Alexandria.

Cell: 6.6376 6.6376 7.9266 Å, 90.00 90.00 90.00°
With the nearest neighbours (Å) after each atom.
Sites, in units of the cell vectors:
Na1 0.1567 0.2500 0.1250  2 F 2.19
Na2 0.2500 0.6567 0.3750  2 F 2.19
Na3 0.2500 0.8433 0.8750  2 F 2.19
Na4 0.3433 0.2500 0.6250  2 F 2.19
Na5 0.6567 0.7500 0.6250  2 F 2.19
Na6 0.7500 0.1567 0.8750  2 F 2.19
Na7 0.7500 0.3433 0.3750  2 F 2.19
Na8 0.8433 0.7500 0.1250  2 F 2.19
Se1 0.0000 0.0000 0.5000  4 Na 2.99
Se2 0.0000 0.5000 0.7500  4 Na 2.99
Se3 0.5000 0.0000 0.2500  4 Na 2.99
Se4 0.5000 0.5000 0.0000  4 Na 2.99
F1 0.0000 0.0000 0.0000  4 Na 2.19
F2 0.0000 0.5000 0.2500  4 Na 2.19
F3 0.5000 0.0000 0.7500  4 Na 2.19
F4 0.5000 0.5000 0.5000  4 Na 2.19

* symmetry: No. 122
* calculated volume: 349.2 Å³ per cell
* density: 2738 kg/m³

---

iii:
The following is a PBE-GGA calculation of a relaxed structure of Na2SeF, from Alexandria.

Cell: 6.8058 6.8058 6.8058 Å, 90.00 90.00 90.00°
With the nearest neighbours (Å) after each atom.
Sites, in units of the cell vectors:
Na1 0.2500 0.2500 0.2500  4 F 2.95, 4 Se 2.95
Na2 0.2500 0.2500 0.7500  4 Se 2.95, 4 F 2.95
Na3 0.2500 0.7500 0.2500  4 Se 2.95, 4 F 2.95
Na4 0.2500 0.7500 0.7500  4 F 2.95, 4 Se 2.95
Na5 0.7500 0.2500 0.2500  4 Se 2.95, 4 F 2.95
Na6 0.7500 0.2500 0.7500  4 F 2.95, 4 Se 2.95
Na7 0.7500 0.7500 0.2500  4 F 2.95, 4 Se 2.95
Na8 0.7500 0.7500 0.7500  4 Se 2.95, 4 F 2.95
Se1 0.0000 0.0000 0.0000  8 Na 2.95
Se2 0.0000 0.5000 0.5000  8 Na 2.95
Se3 0.5000 0.0000 0.5000  8 Na 2.95
Se4 0.5000 0.5000 0.0000  8 Na 2.95
F1 0.0000 0.0000 0.5000  8 Na 2.95
F2 0.0000 0.5000 0.0000  8 Na 2.95
F3 0.5000 0.0000 0.0000  8 Na 2.95
F4 0.5000 0.5000 0.5000  8 Na 2.95

* symmetry: No. 225
* calculated volume: 315.2 Å³ per cell
* density: 3033 kg/m³

---

We find i to be the most stable, with the next structure 10.1 kJ/mol of atoms higher.

---

i:
The following is a PBE-GGA calculation of a relaxed structure of NaSeF2, from Alexandria.

Cell: 3.3878 3.3878 19.4385 Å, 90.00 90.00 120.00°
With the nearest neighbours (Å) after each atom.
Sites, in units of the cell vectors:
Na1 0.0000 0.0000 0.0000  6 F 2.30
Na2 0.3333 0.6667 0.6667  6 F 2.30
Na3 0.6667 0.3333 0.3333  6 F 2.30
Se1 0.0000 0.0000 0.5000  2 F 2.03
Se2 0.3333 0.6667 0.1667  2 F 2.03
Se3 0.6667 0.3333 0.8333  2 F 2.03
F1 0.0000 0.0000 0.3955  1 Se 2.03
F2 0.0000 0.0000 0.6045  1 Se 2.03
F3 0.3333 0.6667 0.0621  1 Se 2.03
F4 0.3333 0.6667 0.2712  1 Se 2.03
F5 0.6667 0.3333 0.7288  1 Se 2.03
F6 0.6667 0.3333 0.9379  1 Se 2.03

* symmetry: No. 166
* calculated volume: 193.2 Å³ per cell
* density: 3608 kg/m³

---

ii:
The following is a PBE-GGA calculation of a relaxed structure of NaSeF2, from Alexandria.

Cell: 6.3228 6.3228 6.3228 Å, 90.00 90.00 90.00°
With the nearest neighbours (Å) after each atom.
Sites, in units of the cell vectors:
Na1 0.0000 0.0000 0.0000  8 F 2.74
Na2 0.0000 0.5000 0.5000  8 F 2.74
Na3 0.5000 0.0000 0.5000  8 F 2.74
Na4 0.5000 0.5000 0.0000  8 F 2.74
Se1 0.0000 0.0000 0.5000  8 F 2.74
Se2 0.0000 0.5000 0.0000  8 F 2.74
Se3 0.5000 0.0000 0.0000  8 F 2.74
Se4 0.5000 0.5000 0.5000  8 F 2.74
F1 0.2500 0.2500 0.2500  4 Se 2.74, 4 Na 2.74
F2 0.2500 0.2500 0.7500  4 Se 2.74, 4 Na 2.74
F3 0.2500 0.7500 0.2500  4 Se 2.74, 4 Na 2.74
F4 0.2500 0.7500 0.7500  4 Se 2.74, 4 Na 2.74
F5 0.7500 0.2500 0.2500  4 Se 2.74, 4 Na 2.74
F6 0.7500 0.2500 0.7500  4 Se 2.74, 4 Na 2.74
F7 0.7500 0.7500 0.2500  4 Se 2.74, 4 Na 2.74
F8 0.7500 0.7500 0.7500  4 Na 2.74, 4 Se 2.74

* symmetry: No. 225
* calculated volume: 252.8 Å³ per cell
* density: 3677 kg/m³

---

iii:
The following is a PBE-GGA calculation of a relaxed structure of NaSeF2, from Alexandria.

Cell: 6.2384 6.2384 6.3748 Å, 90.00 90.00 90.00°
With the nearest neighbours (Å) after each atom.
Sites, in units of the cell vectors:
Na1 0.0000 0.0000 0.0000  4 F 2.29
Na2 0.0000 0.5000 0.2500  4 F 2.29
Na3 0.5000 0.0000 0.7500  4 F 2.29
Na4 0.5000 0.5000 0.5000  4 F 2.29
Se1 0.0000 0.0000 0.5000  4 F 2.41
Se2 0.0000 0.5000 0.7500  4 F 2.41
Se3 0.5000 0.0000 0.2500  4 F 2.41
Se4 0.5000 0.5000 0.0000  4 F 2.41
F1 0.2356 0.2500 0.1250  2 Na 2.29, 2 Se 2.41
F2 0.2500 0.7356 0.3750  2 Na 2.29, 2 Se 2.41
F3 0.2500 0.7644 0.8750  2 Na 2.29, 2 Se 2.41
F4 0.2644 0.2500 0.6250  2 Na 2.29, 2 Se 2.41
F5 0.7356 0.7500 0.6250  2 Na 2.29, 2 Se 2.41
F6 0.7500 0.2356 0.8750  2 Na 2.29, 2 Se 2.41
F7 0.7500 0.2644 0.3750  2 Na 2.29, 2 Se 2.41
F8 0.7644 0.7500 0.1250  2 Na 2.29, 2 Se 2.41

* symmetry: No. 122
* calculated volume: 248.1 Å³ per cell
* density: 3747 kg/m³

---

We find i to be the most stable, with the next structure 49.8 kJ/mol of atoms higher.

---

i:
The following is a PBE-GGA calculation of a relaxed structure of NaYSeF2, from Alexandria.

Cell: 4.3986 4.3986 5.6910 Å, 90.00 90.00 90.00°
With the nearest neighbours (Å) after each atom.
Sites, in units of the cell vectors:
Na1 0.0000 0.0000 0.0000  4 Se 3.11
Y1 0.5000 0.5000 0.5000  4 F 2.20
Se1 0.5000 0.5000 0.0000  2 Y 2.85, 4 Na 3.11
F1 0.0000 0.5000 0.5000  2 Y 2.20
F2 0.5000 0.0000 0.5000  2 Y 2.20

* symmetry: No. 123
* calculated volume: 110.1 Å³ per cell
* density: 3451 kg/m³

---

ii:
The following is a PBE-GGA calculation of a relaxed structure of NaYSeF2, from Alexandria.

Cell: 4.7191 4.7191 5.1529 Å, 90.00 90.00 90.00°
With the nearest neighbours (Å) after each atom.
Sites, in units of the cell vectors:
Na1 0.0000 0.0000 0.0000  2 Se 2.58
Y1 0.5000 0.5000 0.0000  4 Na 3.34, 8 F 3.49
Se1 0.0000 0.0000 0.5000  4 F 2.36, 2 Na 2.58
F1 0.0000 0.5000 0.5000  2 Se 2.36
F2 0.5000 0.0000 0.5000  2 Se 2.36

* symmetry: No. 123
* calculated volume: 114.8 Å³ per cell
* density: 3312 kg/m³

---

We find i to be the most stable, with the next structure 221.0 kJ/mol of atoms higher.

---

i:
The following is a PBE-GGA calculation of a relaxed structure of NaSiF2, from Alexandria.

Cell: 6.0887 6.0887 6.0887 Å, 90.00 90.00 90.00°
With the nearest neighbours (Å) after each atom.
Sites, in units of the cell vectors:
Na1 0.0000 0.0000 0.0000  8 F 2.64
Na2 0.0000 0.5000 0.5000  8 F 2.64
Na3 0.5000 0.0000 0.5000  8 F 2.64
Na4 0.5000 0.5000 0.0000  8 F 2.64
Si1 0.0000 0.0000 0.5000  8 F 2.64
Si2 0.0000 0.5000 0.0000  8 F 2.64
Si3 0.5000 0.0000 0.0000  8 F 2.64
Si4 0.5000 0.5000 0.5000  8 F 2.64
F1 0.2500 0.2500 0.2500  4 Na 2.64, 4 Si 2.64
F2 0.2500 0.2500 0.7500  4 Na 2.64, 4 Si 2.64
F3 0.2500 0.7500 0.2500  4 Na 2.64, 4 Si 2.64
F4 0.2500 0.7500 0.7500  4 Na 2.64, 4 Si 2.64
F5 0.7500 0.2500 0.2500  4 Na 2.64, 4 Si 2.64
F6 0.7500 0.2500 0.7500  4 Na 2.64, 4 Si 2.64
F7 0.7500 0.7500 0.2500  4 Na 2.64, 4 Si 2.64
F8 0.7500 0.7500 0.7500  4 Si 2.64, 4 Na 2.64

* symmetry: No. 225
* calculated volume: 225.7 Å³ per cell
* density: 2621 kg/m³

---

ii:
The following is a PBE-GGA calculation of a relaxed structure of NaSiF2, from Alexandria.

Cell: 6.0427 6.0427 6.9677 Å, 90.00 90.00 90.00°
With the nearest neighbours (Å) after each atom.
Sites, in units of the cell vectors:
Na1 0.0000 0.0000 0.0000  4 F 2.28
Na2 0.0000 0.5000 0.2500  4 F 2.28
Na3 0.5000 0.0000 0.7500  4 F 2.28
Na4 0.5000 0.5000 0.5000  4 F 2.28
Si1 0.0000 0.0000 0.5000  4 F 2.33
Si2 0.0000 0.5000 0.7500  4 F 2.33
Si3 0.5000 0.0000 0.2500  4 F 2.33
Si4 0.5000 0.5000 0.0000  4 F 2.33
F1 0.2438 0.2500 0.1250  2 Na 2.28, 2 Si 2.33
F2 0.2500 0.7438 0.3750  2 Na 2.28, 2 Si 2.33
F3 0.2500 0.7562 0.8750  2 Na 2.28, 2 Si 2.33
F4 0.2562 0.2500 0.6250  2 Na 2.28, 2 Si 2.33
F5 0.7438 0.7500 0.6250  2 Na 2.28, 2 Si 2.33
F6 0.7500 0.2438 0.8750  2 Na 2.28, 2 Si 2.33
F7 0.7500 0.2562 0.3750  2 Na 2.28, 2 Si 2.33
F8 0.7562 0.7500 0.1250  2 Na 2.28, 2 Si 2.33

* symmetry: No. 122
* calculated volume: 254.4 Å³ per cell
* density: 2325 kg/m³

---

iii:
The following is a PBE-GGA calculation of a relaxed structure of NaSiF2, from Alexandria.

Cell: 3.0512 3.0512 19.7534 Å, 90.00 90.00 120.00°
With the nearest neighbours (Å) after each atom.
Sites, in units of the cell vectors:
Na1 0.0000 0.0000 0.0000  6 F 2.23
Na2 0.3333 0.6667 0.6667  6 F 2.23
Na3 0.6667 0.3333 0.3333  6 F 2.23
Si1 0.0000 0.0000 0.5000  2 F 1.93
Si2 0.3333 0.6667 0.1667  2 F 1.93
Si3 0.6667 0.3333 0.8333  2 F 1.93
F1 0.0000 0.0000 0.4025  1 Si 1.93
F2 0.0000 0.0000 0.5975  1 Si 1.93
F3 0.3333 0.6667 0.0691  1 Si 1.93
F4 0.3333 0.6667 0.2642  1 Si 1.93
F5 0.6667 0.3333 0.7358  1 Si 1.93
F6 0.6667 0.3333 0.9309  1 Si 1.93

* symmetry: No. 166
* calculated volume: 159.3 Å³ per cell
* density: 2786 kg/m³

---

We find iii to be the most stable, with the next structure 55.6 kJ/mol of atoms higher.